Entry 1:
VASP calculation (PBE-GGA) on a relaxed structure of LiAsSe2O.

Structure (POSCAR):
```
LiAsSe2O
1.0
-2.442 -2.213 -2.825
1.870 -3.701 1.283
-3.410 -0.551 3.380
As Li Se O
1 1 2 1
Cartesian
-1.705 -0.276 1.690
0.000 0.000 0.000
0.935 -1.851 0.641
-1.221 -1.106 -1.412
-1.991 -3.233 0.919
```

- ΔE to the lowest computed polymorph (meV per atom) = 741
- calculated volume (Å³ per atom) = 18.21
- formation energy (no corrections) (eV/atom) = 0.83


Entry 2:
VASP calculation (PBE-GGA) on a relaxed structure of LiAs2SeO.

Structure (POSCAR):
```
LiAs2SeO
1.0
-2.460 3.240 1.345
-3.002 -2.794 1.242
2.082 -0.262 4.441
As O Se Li
2 1 1 1
Cartesian
-1.230 1.620 0.672
-1.501 -1.397 0.621
0.000 0.000 0.000
1.041 -0.131 2.220
-1.690 0.092 3.514
```

- ΔE to the lowest computed polymorph (meV per atom) = 0
- calculated volume (Å³ per atom) = 18.04
- formation energy (no corrections) (eV/atom) = 0.05


Entry 3:
VASP calculation (PBE-GGA) on a relaxed structure of LiSiAsO2.

Structure (POSCAR):
```
LiSiAsO2
1.0
3.351 0.000 0.000
0.000 8.207 0.000
0.000 0.000 3.351
As Si O Li
1 1 2 1
Cartesian
1.676 4.103 1.676
0.000 0.000 0.000
0.000 0.000 1.676
1.676 0.000 0.000
0.000 4.103 0.000
```

- calculated volume (Å³ per atom) = 18.43
- formation energy (no corrections) (eV/atom) = -0.89